KAs2: optimized geometry, PBE.

SG: Pa-3

Lattice parameters (Å, degrees): 8.0125 8.0125 8.0125 90.00 90.00 90.00
Last column: nearest neighbours and their distance in Å.
Element x y z (fractional)
K  0.0000  0.0000  0.0000  6 As 3.49
K  0.0000  0.5000  0.5000  6 As 3.49
K  0.5000  0.0000  0.5000  6 As 3.49
K  0.5000  0.5000  0.0000  6 As 3.49
As  0.0795  0.5795  0.9205  1 As 2.21
As  0.0795  0.9205  0.4205  1 As 2.21
As  0.4205  0.0795  0.9205  1 As 2.21
As  0.4205  0.4205  0.4205  1 As 2.21
As  0.5795  0.5795  0.5795  1 As 2.21
As  0.5795  0.9205  0.0795  1 As 2.21
As  0.9205  0.0795  0.5795  1 As 2.21
As  0.9205  0.4205  0.0795  1 As 2.21

Tl2AuS4: optimized geometry, PBE.

ΔE_f (raw): -0.100 eV per atom
SG: C2/c

Lattice parameters (Å, degrees): 6.9467 6.9467 8.8153 100.69 100.69 99.84
Last column: nearest neighbours and their distance in Å.
Element x y z (fractional)
Tl  0.1623  0.7866  0.9958  4 S 3.01-3.19, 1 Au 3.32
Tl  0.2134  0.8377  0.5042  4 S 3.01-3.19, 1 Au 3.32
Tl  0.7866  0.1623  0.4958  4 S 3.01-3.19, 1 Au 3.32
Tl  0.8377  0.2134  0.0042  4 S 3.01-3.19, 1 Au 3.32
Au  0.4224  0.5776  0.2500  2 S 2.33
Au  0.5776  0.4224  0.7500  2 S 2.33
S  0.1014  0.3604  0.7958  1 S 2.05
S  0.2011  0.3244  0.3074  1 S 2.05
S  0.3244  0.2011  0.8074  1 S 2.05
S  0.3604  0.1014  0.2958  1 S 2.05
S  0.6395  0.8986  0.7042  1 S 2.05
S  0.6756  0.7989  0.1926  1 S 2.05
S  0.7989  0.6756  0.6926  1 S 2.05
S  0.8986  0.6395  0.2042  1 S 2.05

Rb2MgHg2Se4: optimized geometry, PBE.

ΔE_f (raw): -0.764 eV per atom
SG: C2/m

Lattice parameters (Å, degrees): 8.8176 8.8176 7.9924 106.11 106.11 27.39
Last column: nearest neighbours and their distance in Å.
Element x y z (fractional)
Rb  0.1231  0.1231  0.0498  7 Se 3.54-3.64
Rb  0.8769  0.8769  0.9502  7 Se 3.54-3.64
Mg  0.0000  0.0000  0.5000  4 Se 2.78
Hg  0.3372  0.3372  0.5066  3 Se 2.64-2.69
Hg  0.6628  0.6628  0.4934  3 Se 2.64-2.69
Se  0.2161  0.2161  0.7074  3 Hg 2.69-2.96
Se  0.4868  0.4868  0.7194  1 Hg 2.64, 2 Mg 2.78
Se  0.5132  0.5132  0.2806  1 Hg 2.64, 2 Mg 2.78
Se  0.7839  0.7839  0.2926  3 Hg 2.69-2.96

V2InOs: optimized geometry, PBE.

SG: P4/mmm

Lattice parameters (Å, degrees): 2.8919 2.8919 7.5854 90.00 90.00 90.00
Last column: nearest neighbours and their distance in Å.
Element x y z (fractional)
V  0.0000  0.0000  0.2120  4 Os 2.60, 4 V 2.89
V  0.0000  0.0000  0.7880  4 Os 2.60, 4 V 2.89
In  0.5000  0.5000  0.5000  4 In 2.89, 8 V 2.99
Os  0.5000  0.5000  0.0000  8 V 2.60, 4 Os 2.89

La2ZrInO: optimized geometry, PBE.

ΔE_f (raw): -1.269 eV per atom
SG: P4/mmm

Lattice parameters (Å, degrees): 5.2001 5.2001 4.4430 90.00 90.00 90.00
Last column: nearest neighbours and their distance in Å.
Element x y z (fractional)
La  0.0000  0.5000  0.0000  2 O 2.60
La  0.5000  0.0000  0.0000  2 O 2.60
Zr  0.0000  0.0000  0.5000  2 O 2.22
In  0.5000  0.5000  0.5000  8 La 3.42, 4 Zr 3.68
O  0.0000  0.0000  0.0000  2 Zr 2.22

Ac4Sn2F: optimized geometry, PBE.

ΔE_f (raw): -1.069 eV per atom
SG: I4/mmm

Lattice parameters (Å, degrees): 9.9217 9.9217 9.9217 150.03 150.03 42.89
Last column: nearest neighbours and their distance in Å.
Element x y z (fractional)
Ac  0.0000  0.5000  0.5000  2 F 2.57
Ac  0.1843  0.1843  0.0000  5 Sn 3.40-3.76, 1 F 3.40
Ac  0.5000  0.0000  0.5000  2 F 2.57
Ac  0.8157  0.8157  0.0000  5 Sn 3.40-3.76, 1 F 3.40
Sn  0.3682  0.3682  0.0000  9 Ac 3.40-3.76
Sn  0.6318  0.6318  0.0000  9 Ac 3.40-3.76
F  0.0000  0.0000  0.0000  4 Ac 2.57

La4Sb2PN2: optimized geometry, PBE.

ΔE_f (raw): -1.247 eV per atom
SG: C2/m

Lattice parameters (Å, degrees): 8.3197 8.3197 9.0334 117.42 117.42 29.27
Last column: nearest neighbours and their distance in Å.
Element x y z (fractional)
La  0.0214  0.0214  0.2934  1 N 2.26
La  0.2788  0.2788  0.3658  3 N 2.34-2.42
La  0.7212  0.7212  0.6342  3 N 2.34-2.42
La  0.9786  0.9786  0.7066  1 N 2.26
Sb  0.4029  0.4029  0.9462  1 Sb 2.80
Sb  0.5971  0.5971  0.0538  1 Sb 2.80
P  0.5000  0.5000  0.5000  6 La 2.94-3.17
N  0.1765  0.1765  0.4830  4 La 2.26-2.42
N  0.8235  0.8235  0.5170  4 La 2.26-2.42

LiCaLa2Pd: optimized geometry, PBE.

ΔE to the lowest computed polymorph: 0 meV/atom
SG: P4/mmm

Lattice parameters (Å, degrees): 5.6574 5.6574 5.8129 90.00 90.00 90.00
Last column: nearest neighbours and their distance in Å.
Element x y z (fractional)
Li  0.0000  0.0000  0.0000  4 Ca 4.00, 8 La 4.06
Ca  0.5000  0.5000  0.0000  2 Pd 2.91
La  0.0000  0.5000  0.5000  2 Pd 2.83
La  0.5000  0.0000  0.5000  2 Pd 2.83
Pd  0.5000  0.5000  0.5000  4 La 2.83, 2 Ca 2.91

Li3ZnAg3: optimized geometry, PBE.

ΔE to the lowest computed polymorph: 0 meV/atom
SG: C2/m

Lattice parameters (Å, degrees): 4.9702 4.9702 10.0975 97.23 97.23 107.95
Last column: nearest neighbours and their distance in Å.
Element x y z (fractional)
Li  0.0072  0.6086  0.7196  1 Zn 2.64, 5 Ag 2.70-2.82, 2 Li 2.84-2.86
Li  0.1955  0.1955  0.8431  2 Zn 2.61-2.67, 3 Ag 2.78-2.81, 4 Li 2.84-2.86
Li  0.3914  0.9928  0.2804  1 Zn 2.64, 5 Ag 2.70-2.82, 2 Li 2.84-2.86
Li  0.6086  0.0072  0.7196  1 Zn 2.64, 5 Ag 2.70-2.82, 2 Li 2.84-2.86
Li  0.8045  0.8045  0.1569  2 Zn 2.61-2.67, 3 Ag 2.78-2.81, 4 Li 2.84-2.86
Li  0.9928  0.3914  0.2804  1 Zn 2.64, 5 Ag 2.70-2.82, 2 Li 2.84-2.86
Zn  0.3478  0.3478  0.1115  4 Li 2.61-2.67, 5 Ag 2.74-2.75
Zn  0.6522  0.6522  0.8885  4 Li 2.61-2.67, 5 Ag 2.74-2.75
Ag  0.1765  0.8235  0.5000  4 Li 2.70-2.73, 5 Ag 2.84-2.96
Ag  0.2207  0.7793  0.0000  4 Zn 2.74-2.75, 4 Li 2.78-2.82, 2 Ag 2.96
Ag  0.4179  0.4179  0.6228  5 Li 2.74-2.81, 1 Zn 2.74, 5 Ag 2.85-2.96
Ag  0.5821  0.5821  0.3772  5 Li 2.74-2.81, 1 Zn 2.74, 5 Ag 2.85-2.96
Ag  0.7793  0.2207  0.0000  4 Zn 2.74-2.75, 4 Li 2.78-2.82, 2 Ag 2.96
Ag  0.8235  0.1765  0.5000  4 Li 2.70-2.73, 5 Ag 2.84-2.96

Te2Ru: optimized geometry, PBE.

ΔE_f (raw): -0.334 eV per atom
SG: Pnnm

Lattice parameters (Å, degrees): 5.3436 6.4661 4.0679 90.00 90.00 90.00
Last column: nearest neighbours and their distance in Å.
Element x y z (fractional)
Te  0.2215  0.1336  0.0000  3 Ru 2.65-2.66, 1 Te 2.93
Te  0.2785  0.6336  0.5000  3 Ru 2.65-2.66, 1 Te 2.93
Te  0.7215  0.3664  0.5000  3 Ru 2.65-2.66, 1 Te 2.93
Te  0.7785  0.8664  0.0000  3 Ru 2.65-2.66, 1 Te 2.93
Ru  0.0000  0.5000  0.0000  6 Te 2.65-2.66
Ru  0.5000  0.0000  0.5000  6 Te 2.65-2.66

MgSbRh: optimized geometry, PBE.

ΔE_f (raw): -0.381 eV per atom
SG: I4mm

Lattice parameters (Å, degrees): 5.0838 5.0838 5.0838 139.17 139.17 59.12
Last column: nearest neighbours and their distance in Å.
Element x y z (fractional)
Mg  0.0000  0.0000  0.0000  5 Sb 2.78-3.00, 5 Rh 2.86-2.96
Sb  0.6859  0.6859  0.0000  5 Mg 2.78-3.00, 4 Rh 2.79
Rh  0.3230  0.3230  0.0000  4 Sb 2.79, 5 Mg 2.86-2.96

Tb5Tl4Cu: optimized geometry, PBE.

SG: P4/mmm

Lattice parameters (Å, degrees): 3.6048 3.6048 20.3486 90.00 90.00 90.00
Last column: nearest neighbours and their distance in Å.
Element x y z (fractional)
Tb  0.0000  0.0000  0.0000  8 Tl 3.32, 4 Tb 3.60
Tb  0.0000  0.0000  0.2086  8 Tl 3.32, 4 Tb 3.60
Tb  0.0000  0.0000  0.4175  4 Cu 3.05, 4 Tl 3.32, 1 Tb 3.36
Tb  0.0000  0.0000  0.5825  4 Cu 3.05, 4 Tl 3.32, 1 Tb 3.36
Tb  0.0000  0.0000  0.7914  8 Tl 3.32, 4 Tb 3.60
Tl  0.5000  0.5000  0.1044  8 Tb 3.32, 4 Tl 3.60
Tl  0.5000  0.5000  0.3128  8 Tb 3.32, 4 Tl 3.60
Tl  0.5000  0.5000  0.6872  8 Tb 3.32, 4 Tl 3.60
Tl  0.5000  0.5000  0.8956  8 Tb 3.32, 4 Tl 3.60
Cu  0.5000  0.5000  0.5000  8 Tb 3.05

Number 1: total moment 0.29 μB/atom, electronic total energy -3.36 eV per atom. Number 2: total moment 0.00 μB/atom, electronic total energy -3.60 eV per atom. Number 3: total moment 0.00 μB/atom, electronic total energy -2.77 eV per atom. Number 4: total moment 0.00 μB/atom, electronic total energy -8.06 eV per atom. Number 5: total moment 0.14 μB/atom, electronic total energy -6.49 eV per atom. Number 6: total moment 0.28 μB/atom, electronic total energy -4.83 eV per atom. Number 7: total moment 0.00 μB/atom, electronic total energy -6.80 eV per atom. Number 8: total moment 0.00 μB/atom, electronic total energy -3.95 eV per atom. Number 9: total moment 0.00 μB/atom, electronic total energy -2.37 eV per atom. Number 10: total moment 0.00 μB/atom, electronic total energy -5.52 eV per atom. Number 11: total moment 0.00 μB/atom, electronic total energy -4.74 eV per atom. Number 12: total moment 0.00 μB/atom, electronic total energy -4.01 eV per atom.